Entry 1:
Density functional theory data (PBE) for a relaxed structure of Ti4NbGa4.

Cell: 5.8622 5.8622 9.2734 Å, 90.00 90.00 90.00°
Closest atoms and distances in Å follow each position.
Space group P4_2/nmc (No. 137, origin choice 2)
Inequivalent atoms, fractional coordinates:
1 Ti 0.0212 0.2500 0.1786 (multiplicity 8)  3 Ti 2.61-2.68, 5 Ga 2.67-2.76
2 Nb 0.2500 0.7500 0.2500 (multiplicity 2)  4 Ga 3.00, 8 Ti 3.29
3 Ga 0.0214 0.2500 0.4761 (multiplicity 8)  5 Ti 2.67-2.76, 3 Ga 2.68-2.98

***

Entry 2:
Density functional theory data (PBE) for a relaxed structure of TiNb3Ga3.

Cell: 7.6183 7.6183 4.7575 Å, 90.00 90.00 120.00°
Closest atoms and distances in Å follow each position.
Space group P6_3/m (No. 176)
Inequivalent atoms, fractional coordinates:
1 Ti 0.3333 0.6667 0.2500 (multiplicity 2)  9 Ga 2.78-2.96, 3 Nb 2.96
2 Nb 0.0229 0.2311 0.2500 (multiplicity 6)  5 Ga 2.72-2.96, 6 Nb 2.91, 1 Ti 2.96
3 Ga 0.0797 0.4647 0.7500 (multiplicity 6)  5 Nb 2.72-2.96, 3 Ti 2.78-2.96, 2 Ga 2.84

***

Entry 3:
Density functional theory data (PBE) for a relaxed structure of TiNbGa4.

Output
* excess energy over the best structure of this formula in the dataset: 0.0314 eV/atom

Cell: 3.9962 4.9210 10.1783 Å, 90.00 90.00 90.00°
Closest atoms and distances in Å follow each position.
Space group Cmmm (No. 65)
Inequivalent atoms, fractional coordinates:
1 Ti 0.0000 0.0000 0.0000 (multiplicity 2)  4 Ga 2.61
2 Nb 0.0000 0.5000 0.5000 (multiplicity 2)  4 Ga 2.68
3 Ga 0.0000 0.0000 0.3245 (multiplicity 4)  2 Ga 2.57, 2 Nb 2.68
4 Ga 0.0000 0.5000 0.1650 (multiplicity 4)  2 Ga 2.57, 2 Ti 2.61

***

Entry 4:
Density functional theory data (PBE) for a relaxed structure of Ti7NbGa4.

Cell: 10.5909 4.7865 9.5860 Å, 90.00 120.44 90.00°
Closest atoms and distances in Å follow each position.
Space group C2/m (No. 12)
Inequivalent atoms, fractional coordinates:
1 Ti 0.0000 0.0000 0.0000 (multiplicity 2)  2 Nb 2.39, 2 Ga 2.63
2 Ti 0.0412 0.5000 0.3763 (multiplicity 4)  4 Ti 2.64-2.91, 3 Ga 2.75
3 Ti 0.1511 0.0000 0.5650 (multiplicity 4)  4 Ga 2.53-2.73, 1 Ti 2.78
4 Ti 0.2088 0.5000 0.9027 (multiplicity 4)  4 Ti 2.64-2.88, 4 Ga 2.68-2.74, 1 Nb 2.80
5 Nb 0.0000 0.5000 0.0000 (multiplicity 2)  2 Ti 2.39
6 Ga 0.0757 0.0000 0.7772 (multiplicity 4)  7 Ti 2.53-2.75, 1 Ga 2.68
7 Ga 0.2109 0.0000 0.3212 (multiplicity 4)  6 Ti 2.68-2.75, 1 Ga 2.68

***

Entry 5:
Density functional theory data (PBE) for a relaxed structure of TiNb7Ga4.

Cell: 10.3117 4.8621 10.0704 Å, 90.00 118.61 90.00°
Closest atoms and distances in Å follow each position.
Space group C2/m (No. 12)
Inequivalent atoms, fractional coordinates:
1 Ti 0.0000 0.0000 0.0000 (multiplicity 2)  4 Nb 2.43-2.71
2 Nb 0.0000 0.5000 0.0000 (multiplicity 2)  2 Ti 2.43, 2 Nb 2.68
3 Nb 0.0395 0.0000 0.3759 (multiplicity 4)  5 Nb 2.80-2.98, 4 Ga 2.82-3.08
4 Nb 0.1484 0.5000 0.5452 (multiplicity 4)  5 Ga 2.71-2.94, 4 Nb 2.74-2.92
5 Nb 0.2100 0.0000 0.9108 (multiplicity 4)  4 Nb 2.68-2.90, 1 Ti 2.71, 4 Ga 2.73-2.86
6 Ga 0.0806 0.5000 0.7740 (multiplicity 4)  8 Nb 2.71-2.94, 1 Ga 2.76
7 Ga 0.2178 0.5000 0.3168 (multiplicity 4)  6 Nb 2.72-2.90, 1 Ga 2.76

***

Entry 6:
Density functional theory data (PBE) for a relaxed structure of TiNb2Ga2.

Output
* excess energy over the best structure of this formula in the dataset: 0.0000 eV/atom

Cell: 6.9056 6.9056 3.5394 Å, 90.00 90.00 90.00°
Closest atoms and distances in Å follow each position.
Space group P4/mbm (No. 127)
Inequivalent atoms, fractional coordinates:
1 Ti 0.0000 0.0000 0.0000 (multiplicity 2)  4 Ga 2.72
2 Nb 0.1737 0.3263 0.5000 (multiplicity 4)  6 Ga 2.62-2.75
3 Ga 0.1278 0.6278 0.0000 (multiplicity 4)  1 Ga 2.50, 6 Nb 2.62-2.75, 2 Ti 2.72

***

Entry 7:
Density functional theory data (PBE) for a relaxed structure of Ti2NbGa2.

Output
* excess energy over the best structure of this formula in the dataset: 0.0000 eV/atom

Cell: 7.0690 7.0690 3.3154 Å, 90.00 90.00 90.00°
Closest atoms and distances in Å follow each position.
Space group P4/mbm (No. 127)
Inequivalent atoms, fractional coordinates:
1 Ti 0.1765 0.3235 0.0000 (multiplicity 4)  6 Ga 2.58-2.73
2 Nb 0.0000 0.0000 0.5000 (multiplicity 2)  4 Ga 2.79, 8 Ti 3.09
3 Ga 0.1255 0.6255 0.5000 (multiplicity 4)  1 Ga 2.51, 6 Ti 2.58-2.73, 2 Nb 2.79

***

Entry 8:
Density functional theory data (PBE) for a relaxed structure of Ti8NbGa6.

Cell: 7.5761 7.5761 16.1588 Å, 90.00 90.00 120.00°
Closest atoms and distances in Å follow each position.
Space group R-3 (No. 148, hexagonal axes)
Inequivalent atoms, fractional coordinates:
1 Ti 0.0000 0.0000 0.1684 (multiplicity 6)  6 Ga 2.64-2.66
2 Ti 0.0041 0.3136 0.6125 (multiplicity 18)  5 Ga 2.59-2.81
3 Nb 0.0000 0.0000 0.5000 (multiplicity 3)  6 Ga 2.82, 6 Ti 2.98
4 Ga 0.0002 0.3494 0.4396 (multiplicity 18)  7 Ti 2.59-2.81, 1 Nb 2.82

***

Entry 9:
Density functional theory data (PBE) for a relaxed structure of Ti3Nb4Ga4.

Cell: 2.8495 8.0944 16.3369 Å, 90.00 90.00 90.00°
Closest atoms and distances in Å follow each position.
Space group Immm (No. 71)
Inequivalent atoms, fractional coordinates:
1 Ti 0.0000 0.0000 0.0000 (multiplicity 2)  4 Ga 2.67, 2 Ti 2.85
2 Ti 0.0000 0.5000 0.0884 (multiplicity 4)  6 Ga 2.68-2.71, 3 Ti 2.85-2.89
3 Nb 0.0000 0.3140 0.3399 (multiplicity 8)  4 Ga 2.72-2.77, 3 Nb 2.85-3.01
4 Ga 0.0000 0.0000 0.2729 (multiplicity 4)  2 Ti 2.68, 6 Nb 2.77, 2 Ga 2.85
5 Ga 0.0000 0.2212 0.5000 (multiplicity 4)  6 Ti 2.67-2.71, 2 Nb 2.72, 2 Ga 2.85

***

Entry 10:
Density functional theory data (PBE) for a relaxed structure of TiNbGa2.

Output
* excess energy over the best structure of this formula in the dataset: 0.0000 eV/atom

Cell: 3.9800 3.9800 4.0787 Å, 90.00 90.00 90.00°
Closest atoms and distances in Å follow each position.
Space group P4/mmm (No. 123)
Inequivalent atoms, fractional coordinates:
1 Ti 0.0000 0.0000 0.0000 (multiplicity 1)  4 Nb 2.81, 8 Ga 2.85
2 Nb 0.5000 0.5000 0.0000 (multiplicity 1)  4 Ti 2.81, 8 Ga 2.85
3 Ga 0.0000 0.5000 0.5000 (multiplicity 2)  4 Ga 2.81, 4 Nb 2.85, 4 Ti 2.85

***

Entry 11:
Density functional theory data (PBE) for a relaxed structure of TiNb12Ga6.

Cell: 9.7438 9.7438 12.1237 Å, 90.00 90.00 120.00°
Closest atoms and distances in Å follow each position.
Space group R-3 (No. 148, hexagonal axes)
Inequivalent atoms, fractional coordinates:
1 Ti 0.0000 0.0000 0.0000 (multiplicity 3)  6 Ga 2.70, 6 Nb 2.85
2 Nb 0.0516 0.1856 0.8067 (multiplicity 18)  4 Nb 2.70-2.90, 1 Ti 2.85, 4 Ga 2.85-2.96
3 Nb 0.0682 0.8433 0.4162 (multiplicity 18)  4 Ga 2.78-2.89, 4 Nb 2.81-2.90
4 Ga 0.0316 0.4425 0.7109 (multiplicity 18)  1 Ti 2.70, 8 Nb 2.78-2.96, 2 Ga 2.85

***

Entry 12:
Density functional theory data (PBE) for a relaxed structure of TiNb4Ga5.

Cell: 8.3006 8.3006 5.2538 Å, 90.00 90.00 90.00°
Closest atoms and distances in Å follow each position.
Space group I4/m (No. 87)
Inequivalent atoms, fractional coordinates:
1 Ti 0.0000 0.0000 0.0000 (multiplicity 2)  6 Ga 2.59-2.63
2 Nb 0.0983 0.3015 0.5000 (multiplicity 8)  6 Ga 2.63-2.64
3 Ga 0.0000 0.0000 0.5000 (multiplicity 2)  2 Ti 2.63, 4 Nb 2.63
4 Ga 0.1002 0.2961 0.0000 (multiplicity 8)  1 Ti 2.59, 5 Nb 2.63-2.64

***

Result set for calculated formation energy: 0.011, -0.203, -0.182, -0.004, 0.091, -0.381, -0.381, -0.115, -0.190, -0.392, -0.133, -0.023 eV per atom, one per record in the order listed.
Result set for N(E_F): 0.717, 0.928, 0.335, 0.967, 1.045, 0.929, 1.140, 0.809, 1.039, 0.483, 0.751, 0.444 states/eV/atom, one per record in the order listed.